[1]
A plane-wave DFT calculation with PBE-GGA was carried out for a relaxed NaCePb2 crystal. Values from VASP.

Results
The value obtained for the density of states at the Fermi level is 1.6486 states/eV per atom. As for the formation energy: -291 meV per atom. The space-group type is P4/mmm. Its total magnetic moment is 0.934 μB/f.u.

```
&SYSTEM
  ibrav = 0, nat = 4, ntyp = 3
/
ATOMIC_SPECIES
Pb 207.20 Pb.upf
Ce 140.12 Ce.upf
Na 22.99 Na.upf
CELL_PARAMETERS angstrom
-3.360 1.148 -0.873
-1.598 -0.559 5.415
1.566 5.358 1.015
ATOMIC_POSITIONS angstrom
Pb 0.783 2.679 0.507
Ce -1.696 2.973 2.779
Na -1.680 0.574 -0.436
Pb -0.799 -0.279 2.708
```


[2]
A plane-wave DFT calculation with PBE-GGA was carried out for a relaxed NaCePb2 crystal. Values from VASP.

Results
The value obtained for the density of states at the Fermi level is 1.4882 states/eV per atom. As for the formation energy: -294 meV per atom. The space-group type is Cmmm. Its total magnetic moment is 1.103 μB/f.u.

```
&SYSTEM
  ibrav = 0, nat = 4, ntyp = 3
/
ATOMIC_SPECIES
Na 22.99 Na.upf
Ce 140.12 Ce.upf
Pb 207.20 Pb.upf
CELL_PARAMETERS angstrom
3.402 0.057 0.074
-0.104 5.906 0.209
-0.104 -1.296 5.766
ATOMIC_POSITIONS angstrom
Na 1.597 2.334 3.025
Ce 1.701 0.029 0.037
Pb -0.052 2.953 0.104
Pb -0.052 -0.648 2.883
```